(1)
Mg2CN after structural relaxation. Source: Alexandria via LeMat-Bulk, functional PBE.

Cell lengths 12.936, 3.312, 5.407 Å; angles 90.00, 113.31, 90.00 degrees
Space group Cm (No. 8)
Symmetry-distinct sites (fractional):
Mg 0.000 0.000 0.000 [2 per cell]
Mg 0.049 0.500 0.590 [2 per cell]
Mg 0.257 0.000 0.836 [2 per cell]
Mg 0.369 0.500 0.309 [2 per cell]
C 0.175 0.500 0.053 [2 per cell]
C 0.188 0.500 0.303 [2 per cell]
N 0.206 0.500 0.554 [2 per cell]
N 0.425 0.000 0.146 [2 per cell]

Values from the calculation:
Magnetization ... 0.000 μB/f.u.
Raw total energy ... -5.345 eV per atom
E above lowest polymorph ... 44 meV per atom
Formation energy (no corrections) ... -0.16 eV/atom

=====

(2)
LiRu3 after structural relaxation. Source: Alexandria via LeMat-Bulk, functional PBE.

Cell lengths 2.704, 3.884, 5.092 Å; angles 90.00, 90.00, 90.00 degrees
Space group Pmmm (No. 47)
Symmetry-distinct sites (fractional):
Li 0.000 0.000 0.000 [1 per cell]
Ru 0.000 0.000 0.500 [1 per cell]
Ru 0.500 0.500 0.237 [2 per cell]

Values from the calculation:
Magnetization ... 0.000 μB/f.u.
Raw total energy ... -7.230 eV per atom
DFT formation energy ... 0.821 eV/f.u.

=====

(3)
Cs2NdTe3 after structural relaxation. Source: Alexandria via LeMat-Bulk, functional PBE.

Cell lengths 17.268, 8.192, 7.529 Å; angles 90.00, 90.00, 90.00 degrees
Space group Cmcm (No. 63)
Symmetry-distinct sites (fractional):
Cs 0.182 0.125 0.250 [8 per cell]
Nd 0.000 0.334 0.750 [4 per cell]
Te 0.000 0.000 0.000 [4 per cell]
Te 0.125 0.500 0.000 [8 per cell]

Values from the calculation:
Magnetization ... 0.000 μB/f.u.
Raw total energy ... -3.754 eV per atom
Formation energy (no corrections) ... -1.10 eV/atom

=====

(4)
Na2Bi3Pb2 after structural relaxation. Source: Alexandria via LeMat-Bulk, functional PBE.

Cell lengths 8.140, 9.465, 6.515 Å; angles 90.00, 94.79, 90.00 degrees
Space group P2_1/c (No. 14)
Symmetry-distinct sites (fractional):
Na 0.077 0.169 0.075 [4 per cell]
Bi 0.000 0.000 0.500 [2 per cell]
Bi 0.336 0.527 0.329 [4 per cell]
Pb 0.338 0.634 0.835 [4 per cell]

Values from the calculation:
Magnetization ... 0.000 μB/f.u.
Raw total energy ... -3.214 eV per atom
E above lowest polymorph ... 4 meV per atom
DFT formation energy ... -0.798 eV/f.u.